VASP calculation (PBE) on crystalline Al17Mo4 at its relaxed geometry.

The value obtained for the mass density is 4.29 g/cm³. The calculation puts the density of states at the Fermi level at 13.41 states/eV/cell. The energy relative to the elements comes out at -267 meV/atom.

Lattice parameters (Å, degrees): 5.210 5.210 28.973 95.83 95.83 56.51
Positions (direct):
Al 0.022 0.344 0.870
Al 0.037 0.712 0.946
Al 0.071 0.381 0.773
Al 0.114 0.765 0.844
Al 0.191 0.809 0.750
Al 0.215 0.522 0.586
Al 0.216 0.589 0.394
Al 0.235 0.511 0.493
Al 0.235 0.886 0.656
Al 0.288 0.963 0.554
Al 0.293 0.644 0.299
Al 0.344 0.022 0.370
Al 0.356 0.707 0.201
Al 0.381 0.071 0.273
Al 0.411 0.784 0.106
Al 0.478 0.785 0.914
Al 0.489 0.765 0.007
Al 0.511 0.235 0.993
Al 0.522 0.215 0.086
Al 0.589 0.216 0.894
Al 0.619 0.929 0.727
Al 0.644 0.293 0.799
Al 0.656 0.978 0.630
Al 0.707 0.356 0.701
Al 0.712 0.037 0.446
Al 0.765 0.114 0.344
Al 0.765 0.489 0.507
Al 0.784 0.411 0.606
Al 0.785 0.478 0.414
Al 0.809 0.191 0.250
Al 0.886 0.235 0.156
Al 0.929 0.619 0.227
Al 0.963 0.288 0.054
Al 0.978 0.656 0.130
Mo 0.028 0.747 0.041
Mo 0.142 0.449 0.680
Mo 0.253 0.972 0.459
Mo 0.449 0.142 0.180
Mo 0.551 0.858 0.820
Mo 0.747 0.028 0.541
Mo 0.858 0.551 0.320
Mo 0.972 0.253 0.959